DFT (PBE) results for an optimized crystal structure of Y5Tm2.

The structure in extended XYZ format:
```
14
Lattice="6.2749 0.0000 0.0000 0.0000 9.1744 0.3085 -3.1374 -1.1077 7.7436" Properties=species:S:1:pos:R:3 pbc="T T T"
Tm 2.0975 0.8249 1.1302
Tm -1.0399 2.6546 6.7676
Tm 4.1774 5.4121 1.2845
Tm 1.0399 7.2418 6.9218
Y 1.0541 3.9422 2.3345
Y 4.1741 2.4728 3.4227
Y 2.0833 4.1245 5.7176
Y -2.0833 -0.4627 5.5634
Y 1.0581 6.8808 0.2314
Y 5.2208 8.5294 2.4887
Y 1.0367 1.0067 4.4752
Y 5.2167 2.2936 0.0771
Y 2.1007 7.0600 3.5769
Y -1.0367 5.5939 4.6294
```

Results
The symmetry is C2/c (15). For the total energy, the calculation gives -5.8962 eV per atom.